(1)
A plane-wave DFT calculation with PBE-GGA was carried out for MgFe4Ir15 after structural relaxation.

a = 3.8394 Å, b = 3.8394 Å, c = 19.1971 Å
α = 90.00°, β = 90.00°, γ = 90.00°
Closest atoms and distances in Å follow each position.
Space group P4/mmm (No. 123)
Inequivalent atoms, fractional coordinates:
Mg1 0.0000 0.0000 0.0000 [1 per cell]  12 Ir 2.71-2.78
Fe1 0.0000 0.0000 0.2015 [2 per cell]  12 Ir 2.67-2.72
Fe2 0.0000 0.0000 0.4000 [2 per cell]  12 Ir 2.69-2.71
Ir1 0.0000 0.5000 0.1047 [4 per cell]  2 Fe 2.67, 8 Ir 2.69-2.78, 2 Mg 2.78
Ir2 0.0000 0.5000 0.3020 [4 per cell]  4 Fe 2.69-2.72, 8 Ir 2.70-2.71
Ir3 0.0000 0.5000 0.5000 [2 per cell]  8 Ir 2.70-2.71, 4 Fe 2.71
Ir4 0.5000 0.5000 0.0000 [1 per cell]  4 Mg 2.71, 8 Ir 2.78
Ir5 0.5000 0.5000 0.2026 [2 per cell]  8 Ir 2.69-2.71, 4 Fe 2.71
Ir6 0.5000 0.5000 0.4008 [2 per cell]  8 Ir 2.70, 4 Fe 2.71

Computed properties:
Energy of formation from the pure elements, eV per atom: -0.062

---

(2)
A plane-wave DFT calculation with PBE-GGA was carried out for Ba2BeSi after structural relaxation.

a = 5.4556 Å, b = 4.0730 Å, c = 6.7882 Å
α = 90.00°, β = 99.15°, γ = 90.00°
Closest atoms and distances in Å follow each position.
Space group P2/m (No. 10)
Inequivalent atoms, fractional coordinates:
Ba1 0.0000 0.0000 0.0000 [1 per cell]  2 Be 3.39, 4 Si 3.40
Ba2 0.5000 0.5000 0.5000 [1 per cell]  2 Si 3.39, 4 Be 3.40
Be1 0.0000 0.0000 0.5000 [1 per cell]  6 Ba 3.39-3.40
Si1 0.5000 0.5000 0.0000 [1 per cell]  6 Ba 3.39-3.40

Computed properties:
Polymorph energy (0 for the lowest one), meV/atom: 667
Raw formation energy, eV per atom: 0.513

---

(3)
A plane-wave DFT calculation with PBE-GGA was carried out for Dy3TlP after structural relaxation.

a = 5.2496 Å, b = 5.2496 Å, c = 5.2496 Å
α = 90.00°, β = 90.00°, γ = 90.00°
Closest atoms and distances in Å follow each position.
Space group Pm-3m (No. 221)
Inequivalent atoms, fractional coordinates:
Dy1 0.0000 0.0000 0.5000 [3 per cell]  2 P 2.62
Tl1 0.5000 0.5000 0.5000 [1 per cell]  12 Dy 3.71
P1 0.0000 0.0000 0.0000 [1 per cell]  6 Dy 2.62

Computed properties:
Polymorph energy (0 for the lowest one), meV/atom: 140
Energy of formation from the pure elements, eV per atom: -0.671

---

(4)
A plane-wave DFT calculation with PBE-GGA was carried out for Ac2Pm4Pr7 after structural relaxation.

a = 6.4258 Å, b = 6.4258 Å, c = 13.5314 Å
α = 90.00°, β = 90.00°, γ = 120.00°
Closest atoms and distances in Å follow each position.
Space group P-31m (No. 162)
Inequivalent atoms, fractional coordinates:
Ac1 0.3333 0.6667 0.0000 [2 per cell]  9 Pr 3.68-3.71, 3 Ac 3.71
Pm1 0.0000 0.0000 0.3929 [2 per cell]  1 Pm 2.90
Pm2 0.3333 0.6667 0.5000 [2 per cell]  9 Pm 3.71-3.98
Pr1 0.0000 0.0000 0.0000 [1 per cell]  6 Ac 3.71, 6 Pr 3.88
Pr2 0.0000 0.3700 0.2268 [6 per cell]  1 Pm 3.27, 4 Pr 3.52

Computed properties:
Energy of formation from the pure elements, eV per atom: 0.158

---

(5)
A plane-wave DFT calculation with PBE-GGA was carried out for MnNiAg after structural relaxation.

a = 2.9052 Å, b = 2.9052 Å, c = 10.2307 Å
α = 90.00°, β = 90.00°, γ = 90.00°
Closest atoms and distances in Å follow each position.
Space group I4mm (No. 107)
Inequivalent atoms, fractional coordinates:
Mn1 0.0000 0.0000 0.0000 [2 per cell]  4 Ni 2.46
Ni1 0.0000 0.0000 0.3670 [2 per cell]  4 Mn 2.46, 4 Ag 2.74
Ag1 0.0000 0.0000 0.6900 [2 per cell]  4 Ni 2.74, 4 Mn 2.83, 4 Ag 2.91

Computed properties:
Polymorph energy (0 for the lowest one), meV/atom: 0
Energy of formation from the pure elements, eV per atom: 0.152

---

(6)
A plane-wave DFT calculation with PBE-GGA was carried out for NaInBiPd after structural relaxation.

a = 7.0903 Å, b = 7.0903 Å, c = 7.0903 Å
α = 90.00°, β = 90.00°, γ = 90.00°
Closest atoms and distances in Å follow each position.
Space group F-43m (No. 216)
Inequivalent atoms, fractional coordinates:
Na1 0.0000 0.0000 0.0000 [4 per cell]  4 In 3.07, 4 Bi 3.07
In1 0.2500 0.2500 0.2500 [4 per cell]  4 Na 3.07, 4 Pd 3.07
Bi1 0.2500 0.2500 0.7500 [4 per cell]  4 Na 3.07, 4 Pd 3.07
Pd1 0.0000 0.0000 0.5000 [4 per cell]  4 In 3.07, 4 Bi 3.07

Computed properties:
Energy of formation from the pure elements, eV per atom: -0.201

---

(7)
A plane-wave DFT calculation with PBE-GGA was carried out for TbZrCoRu after structural relaxation.

a = 6.6240 Å, b = 6.6240 Å, c = 6.6240 Å
α = 90.00°, β = 90.00°, γ = 90.00°
Closest atoms and distances in Å follow each position.
Space group F-43m (No. 216)
Inequivalent atoms, fractional coordinates:
Tb1 0.0000 0.0000 0.0000 [4 per cell]  4 Co 2.87, 4 Ru 2.87
Zr1 0.0000 0.0000 0.5000 [4 per cell]  4 Ru 2.87, 4 Co 2.87
Co1 0.2500 0.2500 0.7500 [4 per cell]  4 Zr 2.87, 4 Tb 2.87
Ru1 0.2500 0.2500 0.2500 [4 per cell]  4 Zr 2.87, 4 Tb 2.87

Computed properties:
Energy of formation from the pure elements, eV per atom: -0.315

---

(8)
A plane-wave DFT calculation with PBE-GGA was carried out for Cs2InGe2 after structural relaxation.

a = 8.5453 Å, b = 13.6572 Å, c = 8.3834 Å
α = 90.00°, β = 111.30°, γ = 90.00°
Closest atoms and distances in Å follow each position.
Space group C2/m (No. 12)
Inequivalent atoms, fractional coordinates:
Cs1 0.2011 0.1449 0.2726 [8 per cell]  4 Ge 3.80-3.96, 1 Cs 3.96, 2 In 4.00-4.02
In1 0.0000 0.3841 0.0000 [4 per cell]  4 Ge 2.82-2.83
Ge1 0.1112 0.5000 0.3008 [4 per cell]  1 Ge 2.53
Ge2 0.2067 0.0000 0.8787 [4 per cell]  1 Ge 2.53, 2 In 2.82

Computed properties:
Polymorph energy (0 for the lowest one), meV/atom: 0
Energy of formation from the pure elements, eV per atom: -0.026

---

- What is the formula in the third record?
  Dy3TlP